Entry from Alexandria: CsUHS3 after structural relaxation (PBE).

E_tot = -33.614 eV per formula unit
Density of states at the Fermi level = 9.4 states/eV/cell
Total magnetic moment = 3.51 μB/cell

Cell lengths 3.748, 9.137, 9.817 Å; angles 101.21, 90.00, 90.00 degrees
Each line ends with the local moment (μB).
Positions (direct):
Cs 0.250 0.168 0.273  0.00
Cs 0.750 0.832 0.727  0.00
U 0.250 0.665 0.139  1.80
U 0.750 0.335 0.861  1.80
H 0.250 0.253 0.609  0.00
H 0.750 0.747 0.391  0.00
S 0.750 0.851 0.097  -0.06
S 0.250 0.149 0.903  -0.06
S 0.250 0.755 0.410  -0.02
S 0.750 0.245 0.590  -0.02
S 0.750 0.452 0.140  -0.07
S 0.250 0.548 0.860  -0.07



Entry from Alexandria: Cs2UH2S4 after structural relaxation (PBE).

E_tot = -43.646 eV per formula unit
Density of states at the Fermi level = 2.7 states/eV/cell
Total magnetic moment = 1.50 μB/cell

Cell lengths 3.676, 7.579, 9.277 Å; angles 114.09, 101.43, 90.00 degrees
Each line ends with the local moment (μB).
Positions (direct):
Cs 0.149 0.648 0.297  0.00
Cs 0.851 0.352 0.703  0.00
U 0.000 0.000 0.000  1.63
H 0.661 0.160 0.321  0.00
H 0.339 0.840 0.679  0.00
S 0.165 0.164 0.329  -0.02
S 0.835 0.836 0.671  -0.02
S 0.500 0.751 0.000  -0.06
S 0.500 0.249 0.000  -0.06



Entry from Alexandria: Cs2ZrH2S4 after structural relaxation (PBE).

E_tot = -41.322 eV per formula unit
Total magnetic moment = 0.00 μB/cell

Cell lengths 3.508, 7.483, 9.200 Å; angles 112.67, 100.99, 90.00 degrees
Positions (direct):
Cs 0.143 0.635 0.286
Cs 0.857 0.365 0.714
Zr 0.000 0.000 0.000
H 0.670 0.126 0.340
H 0.330 0.874 0.660
S 0.163 0.157 0.325
S 0.837 0.843 0.675
S 0.499 0.757 0.999
S 0.501 0.243 0.001



Entry from Alexandria: Cs2SbH after structural relaxation (PBE).

E_tot = -8.791 eV per formula unit
Density of states at the Fermi level = 4.8 states/eV/cell
Total magnetic moment = 4.02 μB/cell

Cell lengths 7.865, 7.865, 7.865 Å; angles 109.51, 109.51, 109.39 degrees
Each line ends with the local moment (μB).
Positions (direct):
Cs 0.375 0.787 0.912  0.02
Cs 0.875 0.463 0.088  0.02
Cs 0.213 0.125 0.588  0.02
Cs 0.537 0.625 0.412  0.02
Sb 0.000 0.000 0.000  0.64
Sb 0.750 0.250 0.500  0.64
H 0.500 0.500 0.000  0.03
H 0.250 0.750 0.500  0.03



Entry from Alexandria: Cs2SbH after structural relaxation (PBE).

E_tot = -10.131 eV per formula unit
Total magnetic moment = 0.00 μB/cell

Cell lengths 5.918, 8.469, 9.808 Å; angles 90.00, 90.00, 110.45 degrees
Positions (direct):
Cs 0.356 0.711 0.003
Cs 0.644 0.289 0.997
Cs 0.644 0.289 0.503
Cs 0.356 0.711 0.497
Sb 0.172 0.345 0.750
Sb 0.828 0.655 0.250
H 0.062 0.123 0.750
H 0.938 0.877 0.250



Entry from Alexandria: CsSbH after structural relaxation (PBE).

E_tot = -8.151 eV per formula unit
Density of states at the Fermi level = 1.3 states/eV/cell
Total magnetic moment = 0.00 μB/cell

Cell lengths 5.329, 5.028, 9.729 Å; angles 89.41, 74.10, 57.99 degrees
Positions (direct):
Cs 0.295 0.088 0.321
Cs 0.705 0.912 0.679
Sb 0.842 0.333 0.983
Sb 0.158 0.667 0.017
H 0.945 0.777 0.333
H 0.055 0.223 0.667



Entry from Alexandria: CsSb3H after structural relaxation (PBE).

E_tot = -14.908 eV per formula unit
Density of states at the Fermi level = 2.0 states/eV/cell
Total magnetic moment = 0.00 μB/cell

Cell lengths 5.095, 5.095, 5.095 Å; angles 90.00, 90.00, 90.00 degrees
Positions (direct):
Cs 0.500 0.500 0.500
Sb 0.000 0.500 0.000
Sb 0.000 0.000 0.500
Sb 0.500 0.000 0.000
H 0.000 0.000 0.000



Entry from Alexandria: CsSb3H after structural relaxation (PBE).

E_tot = -7.327 eV per formula unit
Density of states at the Fermi level = 7.5 states/eV/cell
Total magnetic moment = 0.14 μB/cell

Cell lengths 6.463, 6.463, 6.463 Å; angles 90.00, 90.00, 90.00 degrees
Each line ends with the local moment (μB).
Positions (direct):
Cs 0.000 0.000 0.000  -0.02
Sb 0.000 0.500 0.000  -0.13
Sb 0.000 0.000 0.500  -0.20
Sb 0.500 0.000 0.000  -0.07
H 0.500 0.500 0.500  0.37



Entry from Alexandria: CsSb2H after structural relaxation (PBE).

E_tot = -8.508 eV per formula unit
Density of states at the Fermi level = 4.3 states/eV/cell
Total magnetic moment = 0.45 μB/cell

Cell lengths 5.607, 5.607, 5.607 Å; angles 60.00, 60.00, 60.00 degrees
Each line ends with the local moment (μB).
Positions (direct):
Cs 0.500 0.500 0.500  0.01
Sb 0.250 0.250 0.250  0.03
Sb 0.750 0.750 0.750  0.03
H 0.000 0.000 0.000  0.14



Entry from Alexandria: Cs12Sb3H5 after structural relaxation (PBE).

E_tot = -43.634 eV per formula unit
Density of states at the Fermi level = 77.4 states/eV/cell
Total magnetic moment = 8.83 μB/cell

Cell lengths 17.407, 17.407, 17.407 Å; angles 109.47, 109.47, 109.47 degrees
Each line ends with the local moment (μB).
Positions (direct):
Sb 0.750 0.375 0.125  0.22
Sb 0.875 0.750 0.125  0.22
Sb 0.375 0.750 0.625  0.22
Sb 0.250 0.125 0.375  0.22
Sb 0.875 0.125 0.250  0.22
Sb 0.375 0.625 0.250  0.22
Sb 0.625 0.375 0.750  0.22
Sb 0.125 0.875 0.750  0.22
Sb 0.750 0.875 0.625  0.22
Sb 0.625 0.250 0.375  0.22
Sb 0.125 0.250 0.875  0.22
Sb 0.250 0.625 0.875  0.22
H 0.125 0.375 0.250  0.00
H 0.000 0.500 0.000  0.00
H 0.000 0.000 0.000  0.00
H 0.375 0.250 0.125  0.00
H 0.500 0.000 0.500  0.00
H 0.500 0.500 0.000  0.00
H 0.125 0.750 0.375  0.00
H 0.750 0.125 0.875  0.00
H 0.750 0.625 0.375  0.00
H 0.375 0.125 0.750  0.00
H 0.625 0.875 0.250  0.00
H 0.500 0.500 0.500  0.00
H 0.500 0.000 0.000  0.00
H 0.000 0.000 0.500  0.00
H 0.250 0.375 0.625  0.00
H 0.250 0.875 0.125  0.00
H 0.000 0.500 0.500  0.00
H 0.875 0.250 0.625  0.00
H 0.625 0.750 0.875  0.00
H 0.875 0.625 0.750  0.00
Cs 0.707 0.123 0.027  0.01
Cs 0.320 0.527 0.405  0.01
Cs 0.973 0.377 0.293  0.01
Cs 0.527 0.207 0.123  0.01
Cs 0.584 0.707 0.680  0.01
Cs 0.973 0.595 0.180  0.01
Cs 0.320 0.793 0.416  0.01
Cs 0.095 0.916 0.123  0.01
Cs 0.595 0.973 0.680  0.01
Cs 0.707 0.584 0.180  0.01
Cs 0.793 0.473 0.377  0.01
Cs 0.820 0.905 0.027  0.01
Cs 0.123 0.707 0.527  0.01
Cs 0.377 0.405 0.084  0.01
Cs 0.084 0.905 0.377  0.01
Cs 0.416 0.123 0.595  0.01
Cs 0.084 0.180 0.207  0.01
Cs 0.473 0.680 0.095  0.01
Cs 0.820 0.916 0.293  0.01
Cs 0.123 0.416 0.095  0.01
Cs 0.377 0.973 0.793  0.01
Cs 0.595 0.623 0.416  0.01
Cs 0.905 0.820 0.527  0.01
Cs 0.793 0.320 0.916  0.01
Cs 0.405 0.377 0.584  0.01
Cs 0.095 0.180 0.473  0.01
Cs 0.207 0.680 0.084  0.01
Cs 0.180 0.084 0.707  0.01
Cs 0.623 0.027 0.207  0.01
Cs 0.877 0.584 0.905  0.01
Cs 0.527 0.320 0.905  0.01
Cs 0.584 0.877 0.405  0.01
Cs 0.916 0.820 0.793  0.01
Cs 0.916 0.095 0.623  0.01
Cs 0.877 0.293 0.473  0.01
Cs 0.180 0.095 0.973  0.01
Cs 0.623 0.595 0.916  0.01
Cs 0.405 0.027 0.320  0.01
Cs 0.293 0.416 0.820  0.01
Cs 0.207 0.527 0.623  0.01
Cs 0.905 0.084 0.877  0.01
Cs 0.680 0.207 0.584  0.01
Cs 0.473 0.793 0.877  0.01
Cs 0.027 0.405 0.820  0.01
Cs 0.416 0.293 0.320  0.01
Cs 0.027 0.623 0.707  0.01
Cs 0.680 0.473 0.595  0.01
Cs 0.293 0.877 0.973  0.01



Entry from Alexandria: CsSb2H after structural relaxation (PBE).

E_tot = -12.583 eV per formula unit
Density of states at the Fermi level = 4.0 states/eV/cell
Total magnetic moment = 0.00 μB/cell

Cell lengths 4.582, 9.084, 13.790 Å; angles 89.82, 90.00, 90.00 degrees
Positions (direct):
Cs 0.250 0.475 0.250
Cs 0.750 0.525 0.750
Cs 0.750 0.025 0.250
Cs 0.250 0.975 0.750
Sb 0.745 0.902 0.974
Sb 0.255 0.098 0.026
Sb 0.245 0.598 0.526
Sb 0.755 0.402 0.474
Sb 0.745 0.402 0.026
Sb 0.255 0.598 0.974
Sb 0.245 0.098 0.474
Sb 0.755 0.902 0.526
H 0.000 0.250 0.539
H 0.000 0.750 0.461
H 0.500 0.250 0.961
H 0.500 0.750 0.039



Entry from Alexandria: Cs4SbH after structural relaxation (PBE).

E_tot = -12.435 eV per formula unit
Total magnetic moment = 0.00 μB/cell

Cell lengths 7.832, 11.008, 9.320 Å; angles 113.57, 98.76, 116.99 degrees
Positions (direct):
Cs 0.152 0.232 0.854
Cs 0.767 0.739 0.694
Cs 0.202 0.621 0.854
Cs 0.426 0.955 0.694
Cs 0.574 0.045 0.306
Cs 0.798 0.379 0.146
Cs 0.233 0.261 0.306
Cs 0.848 0.768 0.146
Sb 0.392 0.642 0.284
Sb 0.608 0.358 0.716
H 0.245 0.995 0.991
H 0.755 0.005 0.009



Entry from Alexandria: CsSbH after structural relaxation (PBE).

E_tot = -8.747 eV per formula unit
Total magnetic moment = 0.00 μB/cell

Cell lengths 4.223, 7.362, 8.475 Å; angles 124.94, 90.00, 106.66 degrees
Positions (direct):
Cs 0.931 0.861 0.819
Cs 0.278 0.555 0.165
Sb 0.090 0.180 0.545
Sb 0.610 0.220 0.334
H 0.609 0.218 0.885
H 0.239 0.478 0.759



Entry from Alexandria: CsSb3H after structural relaxation (PBE).

E_tot = -16.731 eV per formula unit
Density of states at the Fermi level = 3.3 states/eV/cell
Total magnetic moment = 0.00 μB/cell

Cell lengths 7.612, 7.539, 7.020 Å; angles 90.00, 90.00, 58.80 degrees
Positions (direct):
Cs 0.051 0.241 0.052
Cs 0.510 0.725 0.552
Sb 0.209 0.366 0.552
Sb 0.352 0.600 0.052
Sb 0.576 0.208 0.808
Sb 0.576 0.208 0.296
Sb 0.985 0.758 0.308
Sb 0.985 0.758 0.796
H 0.682 0.233 0.552
H 0.879 0.733 0.052



Entry from Alexandria: Cs6SbH2 after structural relaxation (PBE).

E_tot = -17.681 eV per formula unit
Density of states at the Fermi level = 3.2 states/eV/cell
Total magnetic moment = 0.77 μB/cell

Cell lengths 6.487, 9.227, 9.773 Å; angles 74.33, 70.62, 69.42 degrees
Positions (direct):
Cs 0.737 0.639 0.887
Cs 0.263 0.361 0.113
Cs 0.975 0.852 0.197
Cs 0.354 0.714 0.578
Cs 0.025 0.148 0.803
Cs 0.646 0.286 0.422
Sb 0.000 0.500 0.500
H 0.189 0.704 0.918
H 0.811 0.296 0.082



Entry from Alexandria: Cs4SbH2 after structural relaxation (PBE).

E_tot = -15.287 eV per formula unit
Density of states at the Fermi level = 14.7 states/eV/cell
Total magnetic moment = 2.05 μB/cell

Cell lengths 9.500, 9.498, 9.525 Å; angles 108.29, 108.30, 111.73 degrees
Each line ends with the local moment (μB).
Positions (direct):
Cs 0.914 0.235 0.325  0.01
Cs 0.336 0.514 0.175  0.01
Cs 0.911 0.589 0.676  0.01
Cs 0.764 0.087 0.676  0.01
Cs 0.411 0.089 0.324  0.01
Cs 0.339 0.161 0.824  0.01
Cs 0.486 0.663 0.824  0.01
Cs 0.839 0.661 0.176  0.01
Sb 0.250 0.750 0.500  0.30
Sb 0.000 0.000 0.000  0.30
H 0.625 0.375 0.750  0.00
H 0.625 0.875 0.250  0.00
H 0.625 0.375 0.250  0.00
H 0.125 0.375 0.750  0.00



Entry from Alexandria: CsSbH after structural relaxation (PBE).

E_tot = -8.715 eV per formula unit
Density of states at the Fermi level = 1.5 states/eV/cell
Total magnetic moment = 0.00 μB/cell

Cell lengths 5.585, 3.590, 4.660 Å; angles 90.00, 90.00, 90.00 degrees
Positions (direct):
Cs 0.500 0.500 0.026
Sb 0.000 0.000 0.535
H 0.000 0.000 0.156



Entry from Alexandria: CsSb2H after structural relaxation (PBE).

E_tot = -12.234 eV per formula unit
Density of states at the Fermi level = 4.1 states/eV/cell
Total magnetic moment = 0.00 μB/cell

Cell lengths 6.946, 6.946, 7.000 Å; angles 60.25, 60.25, 90.00 degrees
Positions (direct):
Cs 0.000 0.000 0.000
Cs 0.750 0.250 0.500
Sb 0.375 0.125 0.250
Sb 0.375 0.625 0.250
Sb 0.375 0.625 0.750
Sb 0.875 0.625 0.750
H 0.500 0.500 0.000
H 0.250 0.750 0.500



Entry from Alexandria: Cs3SbH2 after structural relaxation (PBE).

E_tot = -14.890 eV per formula unit
Density of states at the Fermi level = 0.0 states/eV/cell
Total magnetic moment = 0.00 μB/cell

Cell lengths 5.155, 8.036, 15.838 Å; angles 106.62, 89.83, 50.17 degrees
Positions (direct):
Cs 0.321 0.928 0.663
Cs 0.679 0.072 0.337
Cs 0.585 0.165 0.911
Cs 0.415 0.835 0.089
Cs 0.381 0.369 0.608
Cs 0.619 0.631 0.392
Sb 0.679 0.578 0.820
Sb 0.321 0.422 0.180
H 0.344 0.570 0.816
H 0.656 0.430 0.184
H 0.946 0.803 0.545
H 0.054 0.197 0.455



Entry from Alexandria: Cs2ScSbH after structural relaxation (PBE).

E_tot = -13.729 eV per formula unit
Density of states at the Fermi level = 4.9 states/eV/cell
Total magnetic moment = 1.70 μB/cell

Cell lengths 7.152, 3.744, 7.152 Å; angles 90.00, 90.00, 90.00 degrees
Each line ends with the local moment (μB).
Positions (direct):
Cs 0.000 0.000 0.500  0.04
Cs 0.500 0.000 0.000  0.03
Sb 0.500 0.500 0.500  -0.09
Sc 0.000 0.000 0.000  0.91
H 0.000 0.500 0.000  0.00